(1)
The following is a PBE calculation of an optimized crystal structure of TbNd3Ga2, from Alexandria.

Properties
Energy above the lowest structure with this stoichiometry in eV per formula unit: 0.00
Formation enthalpy at 0 K in kJ/mol of atoms: -38.2

Cell lengths 5.1488, 6.6781, 9.7011 Å; angles 90.00, 90.00, 90.00 degrees
Last column: nearest neighbours and their distance in Å.
Fractional positions:
1 Tb 0.5000 0.5164 0.5551  3 Ga 3.11-3.13, 3 Nd 3.43-3.44
2 Tb 0.5000 0.0164 0.4449  3 Ga 3.11-3.13, 3 Nd 3.43-3.44
3 Nd 0.0000 0.4813 0.9497  3 Ga 3.14-3.18, 4 Nd 3.47-3.48
4 Nd 0.0000 0.9813 0.0503  3 Ga 3.14-3.18, 4 Nd 3.47-3.48
5 Nd 0.5000 0.6833 0.1741  5 Ga 3.15-3.52, 1 Tb 3.44, 2 Nd 3.47
6 Nd 0.5000 0.1833 0.8259  5 Ga 3.15-3.52, 1 Tb 3.44, 2 Nd 3.47
7 Nd 0.0000 0.3157 0.3340  4 Ga 3.05-3.21
8 Nd 0.0000 0.8157 0.6660  4 Ga 3.05-3.21
9 Ga 0.5000 0.7088 0.8496  1 Tb 3.13, 6 Nd 3.14-3.21
10 Ga 0.5000 0.2088 0.1504  1 Tb 3.13, 6 Nd 3.14-3.21
11 Ga 0.0000 0.2944 0.6483  5 Nd 3.05-3.20, 2 Tb 3.11
12 Ga 0.0000 0.7944 0.3517  5 Nd 3.05-3.20, 2 Tb 3.11

(2)
The following is a PBE calculation of an optimized crystal structure of LiLa2Pd6, from Alexandria.

Properties
Energy above the lowest structure with this stoichiometry in eV per formula unit: 0.15
Formation enthalpy at 0 K in kJ/mol of atoms: -68.8

Cell lengths 5.7809, 5.8283, 5.8283 Å; angles 60.00, 90.00, 90.00 degrees
Last column: nearest neighbours and their distance in Å.
Fractional positions:
1 Li 0.0000 0.0000 0.0000  6 Pd 2.48
2 La 0.8033 0.6667 0.6667  12 Pd 2.98-3.34
3 La 0.1967 0.3333 0.3333  12 Pd 2.98-3.34
4 Pd 0.3072 0.3429 0.8285  1 Li 2.48
5 Pd 0.3071 0.8286 0.8286  1 Li 2.48
6 Pd 0.3072 0.8285 0.3429  1 Li 2.48
7 Pd 0.6928 0.6571 0.1715  1 Li 2.48
8 Pd 0.6929 0.1714 0.1714  1 Li 2.48
9 Pd 0.6928 0.1715 0.6571  1 Li 2.48

(3)
The following is a PBE calculation of an optimized crystal structure of ErRe3N8, from Alexandria.

Properties
Formation energy (no corrections) in meV per atom: 51

Cell lengths 5.7483, 5.7483, 6.1888 Å; angles 90.00, 90.00, 120.00 degrees
Last column: nearest neighbours and their distance in Å.
Fractional positions:
1 Er 0.0000 0.0000 0.5000  6 N 2.44
2 Re 0.6667 0.3333 0.7162  4 N 1.74-1.85
3 Re 0.3333 0.6667 0.2838  4 N 1.74-1.85
4 Re 0.0000 0.0000 0.0000  6 N 1.97
5 N 0.6888 0.8445 0.1956  2 Re 1.85-1.97
6 N 0.1556 0.3112 0.1956  2 Re 1.85-1.97
7 N 0.1555 0.8444 0.1956  2 Re 1.85-1.97
8 N 0.3112 0.1555 0.8044  2 Re 1.85-1.97
9 N 0.8444 0.6888 0.8044  2 Re 1.85-1.97
10 N 0.8445 0.1556 0.8044  2 Re 1.85-1.97
11 N 0.6667 0.3333 0.4347  1 Re 1.74
12 N 0.3333 0.6667 0.5653  1 Re 1.74

(4)
The following is a PBE calculation of an optimized crystal structure of UTl4Te5, from Alexandria.

Properties
Formation energy (no corrections) in meV per atom: -376

Cell lengths 6.5035, 8.1603, 8.1603 Å; angles 80.86, 66.52, 66.52 degrees
Last column: nearest neighbours and their distance in Å.
Fractional positions:
1 U 0.0057 0.0000 0.0000  5 Te 2.89-3.21
2 Tl 0.4098 0.4016 0.7800  6 Te 3.31-3.68
3 Tl 0.8114 0.7800 0.5984  6 Te 3.31-3.68
4 Tl 0.1898 0.2200 0.4016  6 Te 3.31-3.68
5 Tl 0.5914 0.5984 0.2200  6 Te 3.31-3.68
6 Te 0.9010 0.3544 0.8452  1 U 2.89
7 Te 0.2554 0.8452 0.6456  1 U 2.89
8 Te 0.7462 0.1548 0.3544  1 U 2.89
9 Te 0.1006 0.6456 0.1548  1 U 2.89
10 Te 0.4990 0.0000 0.0000  2 U 3.21-3.30, 4 Tl 3.43

(5)
The following is a PBE calculation of an optimized crystal structure of Cr2CoRu, from Alexandria.

Properties
Formation enthalpy at 0 K in kJ/mol of atoms: 19.3

Cell lengths 4.7895, 4.7895, 4.7895 Å; angles 144.21, 130.09, 62.93 degrees
Last column: nearest neighbours and their distance in Å.
Fractional positions:
1 Co 0.2500 0.7500 0.5000  4 Cr 2.49, 4 Ru 2.50
2 Cr 0.0048 0.0048 0.0000  2 Co 2.49, 4 Cr 2.50, 2 Ru 2.55
3 Cr 0.4952 0.4952 0.0000  2 Co 2.49, 4 Cr 2.50, 2 Ru 2.55
4 Ru 0.7500 0.2500 0.5000  4 Co 2.50, 4 Cr 2.55

(6)
The following is a PBE calculation of an optimized crystal structure of ZrScSi2, from Alexandria.

Properties
Energy above the lowest structure with this stoichiometry in eV per formula unit: 2.13
Formation energy (no corrections) in meV per atom: -343

Cell lengths 4.6922, 4.6922, 4.6922 Å; angles 60.00, 60.00, 60.00 degrees
Last column: nearest neighbours and their distance in Å.
Fractional positions:
1 Sc 0.0000 0.0000 0.0000  8 Si 2.87
2 Si 0.2500 0.2500 0.2500  4 Zr 2.87, 4 Sc 2.87
3 Si 0.7500 0.7500 0.7500  4 Zr 2.87, 4 Sc 2.87
4 Zr 0.5000 0.5000 0.5000  8 Si 2.87

(7)
The following is a PBE calculation of an optimized crystal structure of SrTmGaAu, from Alexandria.

Properties
Formation enthalpy at 0 K in kJ/mol of atoms: -51.7

Cell lengths 5.2273, 5.2273, 5.2273 Å; angles 60.00, 60.00, 60.00 degrees
Last column: nearest neighbours and their distance in Å.
Fractional positions:
1 Sr 0.5000 0.5000 0.5000  4 Ga 3.20, 4 Au 3.20
2 Tm 0.0000 0.0000 0.0000  4 Ga 3.20, 4 Au 3.20
3 Au 0.7500 0.7500 0.7500  4 Tm 3.20, 4 Sr 3.20
4 Ga 0.2500 0.2500 0.2500  4 Tm 3.20, 4 Sr 3.20

(8)
The following is a PBE calculation of an optimized crystal structure of As2PPt, from Alexandria.

Properties
Formation enthalpy at 0 K in kJ/mol of atoms: 33.3

Cell lengths 4.4680, 4.4680, 4.4680 Å; angles 113.66, 113.66, 101.38 degrees
Last column: nearest neighbours and their distance in Å.
Fractional positions:
1 As 0.0000 0.0000 0.0000  4 As 2.82, 4 Pt 2.82, 2 P 2.83
2 As 0.2500 0.7500 0.5000  4 As 2.82, 4 P 2.82, 2 Pt 2.83
3 P 0.5000 0.5000 0.0000  6 As 2.82-2.83, 4 Pt 2.82
4 Pt 0.7500 0.2500 0.5000  6 As 2.82-2.83, 4 P 2.82

(9)
The following is a PBE calculation of an optimized crystal structure of Pm3EuO, from Alexandria.

Properties
Formation energy (no corrections) in meV per atom: -1021

Cell lengths 5.1100, 5.1100, 5.1100 Å; angles 90.00, 90.00, 90.00 degrees
Last column: nearest neighbours and their distance in Å.
Fractional positions:
1 Eu 0.5000 0.5000 0.5000  12 Pm 3.61
2 O 0.0000 0.0000 0.0000  6 Pm 2.55
3 Pm 0.0000 0.5000 0.0000  2 O 2.55
4 Pm 0.0000 0.0000 0.5000  2 O 2.55
5 Pm 0.5000 0.0000 0.0000  2 O 2.55

(10)
The following is a PBE calculation of an optimized crystal structure of AlTe2Se, from Alexandria.

Properties
Formation energy (no corrections) in meV per atom: 101

Cell lengths 7.3256, 7.3256, 6.9582 Å; angles 58.24, 58.24, 90.00 degrees
Last column: nearest neighbours and their distance in Å.
Fractional positions:
1 Te 0.5935 0.1250 0.2500  2 Al 2.70, 2 Se 2.99
2 Te 0.1565 0.6250 0.2500  2 Al 2.70, 2 Se 2.99
3 Te 0.3750 0.4065 0.7500  2 Al 2.70, 2 Se 2.99
4 Te 0.8750 0.8435 0.7500  2 Al 2.70, 2 Se 2.99
5 Al 0.5000 0.5000 0.0000  4 Te 2.70
6 Al 0.2500 0.7500 0.5000  4 Te 2.70
7 Se 0.0000 0.0000 0.0000  4 Te 2.99
8 Se 0.7500 0.2500 0.5000  4 Te 2.99

(11)
The following is a PBE calculation of an optimized crystal structure of K2TiPbS4, from Alexandria.

Properties
Formation energy (no corrections) in meV per atom: -1095

Cell lengths 6.4261, 8.6320, 9.4311 Å; angles 90.00, 90.00, 90.00 degrees
Last column: nearest neighbours and their distance in Å.
Fractional positions:
1 K 0.4497 0.3368 0.2573  5 S 3.03-3.36
2 K 0.4497 0.3368 0.7427  5 S 3.03-3.36
3 K 0.9497 0.6632 0.7573  5 S 3.03-3.36
4 K 0.9497 0.6632 0.2427  5 S 3.03-3.36
5 Ti 0.5088 0.8417 0.5000  4 S 2.28-2.31
6 Ti 0.0088 0.1583 0.0000  4 S 2.28-2.31
7 Pb 0.9669 0.1576 0.5000  2 S 2.64-2.77
8 Pb 0.4669 0.8424 0.0000  2 S 2.64-2.77
9 S 0.3629 0.1378 0.0000  1 Ti 2.28
10 S 0.8629 0.8622 0.5000  1 Ti 2.28
11 S 0.3896 0.0943 0.5000  1 Ti 2.31
12 S 0.8896 0.9057 0.0000  1 Ti 2.31
13 S 0.4362 0.7051 0.7009  1 Ti 2.28
14 S 0.9362 0.2949 0.2009  1 Ti 2.28
15 S 0.9362 0.2949 0.7991  1 Ti 2.28
16 S 0.4362 0.7051 0.2991  1 Ti 2.28